Density functional theory data (PBE) for a relaxed K3MgU3Se8 crystal.

Properties
- electronic total energy (Ry per atom) = -0.4181
- E_form (uncorrected) (kJ/mol of atoms) = -120.3

Geometry as CIF:
```
data_K3MgU3Se8
_chemical_formula_sum 'K3 Mg1 U3 Se8'
_cell_length_a 9.174
_cell_length_b 9.174
_cell_length_c 9.174
_cell_angle_alpha 53.72
_cell_angle_beta 53.72
_cell_angle_gamma 53.72
_space_group_name_H-M_alt 'P 1'
_space_group_IT_number 1
loop_
_space_group_symop_operation_xyz
'x,y,z'
loop_
_atom_site_label
_atom_site_type_symbol
_atom_site_fract_x
_atom_site_fract_y
_atom_site_fract_z
K1 K 0.000 0.500 0.500
K2 K 0.500 0.000 0.500
K3 K 0.500 0.500 0.000
Mg1 Mg 0.500 0.500 0.500
U1 U 0.000 0.000 0.500
U2 U 0.000 0.500 0.000
U3 U 0.500 0.000 0.000
Se1 Se 0.235 0.731 0.731
Se2 Se 0.236 0.236 0.236
Se3 Se 0.269 0.269 0.765
Se4 Se 0.269 0.765 0.269
Se5 Se 0.731 0.235 0.731
Se6 Se 0.731 0.731 0.235
Se7 Se 0.764 0.764 0.764
Se8 Se 0.765 0.269 0.269
```